# 1
SiPd4Pb, relaxed, DFT GGA-PBE; polymorph energy (0 for the lowest one) = 110.9 meV per atom; Fermi-level density of states = 0.545 states/eV/atom; V = 105 Å³/f.u.; formation energy without anion corrections = -0.3681 eV/atom
1.0
4.573 0.000 0.285
0.000 5.775 0.000
-0.029 0.000 7.933
Pd Si Pb
8 2 2
direct
0.518 0.099 0.790 Pd
0.973 0.120 0.354 Pd
0.482 0.901 0.210 Pd
0.027 0.880 0.646 Pd
0.527 0.620 0.646 Pd
0.473 0.380 0.354 Pd
0.018 0.401 0.790 Pd
0.982 0.599 0.210 Pd
0.000 0.500 0.500 Si
0.500 0.000 0.500 Si
0.500 0.500 0.000 Pb
0.000 0.000 0.000 Pb



# 2
SiPd4Pb, relaxed, DFT GGA-PBE; polymorph energy (0 for the lowest one) = 0.0 meV per atom; Fermi-level density of states = 0.370 states/eV/atom; V = 101 Å³/f.u.; formation energy without anion corrections = -0.4790 eV/atom
1.0
-1.889 -0.991 2.839
5.437 -3.568 2.372
5.199 13.310 8.107
Pd Pb Si
16 4 4
direct
0.250 0.134 0.542 Pd
0.250 0.622 0.141 Pd
0.250 0.122 0.359 Pd
0.750 0.378 0.859 Pd
0.750 0.866 0.458 Pd
0.750 0.000 0.937 Pd
0.250 0.577 0.697 Pd
0.750 0.923 0.197 Pd
0.250 0.000 0.063 Pd
0.250 0.500 0.437 Pd
0.750 0.366 0.042 Pd
0.250 0.634 0.958 Pd
0.750 0.878 0.641 Pd
0.250 0.077 0.803 Pd
0.750 0.423 0.303 Pd
0.750 0.500 0.563 Pd
0.750 0.253 0.692 Pb
0.250 0.247 0.192 Pb
0.750 0.753 0.808 Pb
0.250 0.747 0.308 Pb
0.250 0.750 0.554 Si
0.250 0.250 0.946 Si
0.750 0.250 0.446 Si
0.750 0.750 0.054 Si



# 3
Si2Pd2Pb, relaxed, DFT GGA-PBE; Fermi-level density of states = 0.562 states/eV/atom; V = 90 Å³/f.u.; formation energy without anion corrections = -0.0712 eV/atom
1.0
7.817 0.000 0.000
0.000 7.817 0.000
0.000 0.000 2.940
Si Pd Pb
4 4 2
direct
0.374 0.874 0.000 Si
0.126 0.374 0.000 Si
0.874 0.626 0.000 Si
0.626 0.126 0.000 Si
0.352 0.148 0.500 Pd
0.148 0.648 0.500 Pd
0.648 0.852 0.500 Pd
0.852 0.352 0.500 Pd
0.000 0.000 0.000 Pb
0.500 0.500 0.000 Pb



# 4
SiPd2Pb, relaxed, DFT GGA-PBE; polymorph energy (0 for the lowest one) = 251.6 meV per atom; Fermi-level density of states = 0.452 states/eV/atom; V = 85 Å³/f.u.; formation energy without anion corrections = -0.0804 eV/atom
1.0
4.652 0.000 0.000
0.000 4.652 0.000
2.326 2.326 7.874
Pd Si Pb
4 2 2
direct
0.375 0.455 0.750 Pd
0.205 0.625 0.250 Pd
0.875 0.795 0.750 Pd
0.545 0.125 0.250 Pd
0.500 0.500 0.000 Si
0.250 0.750 0.500 Si
0.750 0.250 0.500 Pb
0.000 0.000 0.000 Pb



# 5
SiPd8Pb2, relaxed, DFT GGA-PBE; Fermi-level density of states = 0.374 states/eV/atom; V = 188 Å³/f.u.; formation energy without anion corrections = -0.3311 eV/atom
1.0
-0.618 -1.605 -4.236
-5.079 -2.400 1.650
-0.516 7.906 -0.454
Pd Pb Si
8 2 1
direct
0.000 0.763 0.000 Pd
0.371 0.124 0.742 Pd
0.628 0.383 0.257 Pd
0.813 0.812 0.625 Pd
0.187 0.188 0.375 Pd
0.372 0.617 0.743 Pd
0.000 0.237 0.000 Pd
0.629 0.876 0.258 Pd
0.819 0.319 0.638 Pb
0.181 0.681 0.362 Pb
0.500 0.000 0.000 Si



# 6
SiPd2Pb, relaxed, DFT GGA-PBE; polymorph energy (0 for the lowest one) = 0.0 meV per atom; Fermi-level density of states = 0.304 states/eV/atom; V = 80 Å³/f.u.; formation energy without anion corrections = -0.3320 eV/atom
1.0
-3.167 -1.283 2.014
-1.941 -3.241 -1.210
1.759 -4.824 3.599
Pd Si Pb
2 1 1
direct
0.715 0.715 0.856 Pd
0.285 0.285 0.144 Pd
0.000 0.000 0.000 Si
0.500 0.500 0.500 Pb



# 7
SiPdPb3, relaxed, DFT GGA-PBE; polymorph energy (0 for the lowest one) = 230.0 meV per atom; Fermi-level density of states = 0.582 states/eV/atom; V = 150 Å³/f.u.; formation energy without anion corrections = 0.6784 eV/atom
1.0
5.308 0.000 0.000
0.000 5.308 0.000
0.000 0.000 5.308
Pb Pd Si
3 1 1
direct
0.000 0.000 0.500 Pb
0.000 0.500 0.000 Pb
0.500 0.000 0.000 Pb
0.500 0.500 0.500 Pd
0.000 0.000 0.000 Si



# 8
Si6Pd21Pb2, relaxed, DFT GGA-PBE; Fermi-level density of states = 0.614 states/eV/atom; V = 461 Å³/f.u.; formation energy without anion corrections = -0.5270 eV/atom
1.0
-8.478 1.225 -1.341
-5.738 -5.793 2.950
-5.190 2.033 6.642
Pd Pb Si
21 2 6
direct
0.383 0.383 0.383 Pd
0.341 0.659 0.000 Pd
0.148 0.617 0.617 Pd
0.000 0.341 0.659 Pd
0.659 0.000 0.341 Pd
0.000 0.659 0.000 Pd
0.617 0.617 0.148 Pd
0.852 0.383 0.383 Pd
0.000 0.000 0.000 Pd
0.341 0.000 0.659 Pd
0.383 0.383 0.852 Pd
0.000 0.659 0.341 Pd
0.659 0.341 0.000 Pd
0.659 0.000 0.000 Pd
0.341 0.000 0.000 Pd
0.000 0.341 0.000 Pd
0.617 0.617 0.617 Pd
0.617 0.148 0.617 Pd
0.383 0.852 0.383 Pd
0.000 0.000 0.659 Pd
0.000 0.000 0.341 Pd
0.750 0.750 0.750 Pb
0.250 0.250 0.250 Pb
0.268 0.732 0.732 Si
0.268 0.268 0.732 Si
0.732 0.732 0.268 Si
0.732 0.268 0.268 Si
0.268 0.732 0.268 Si
0.732 0.268 0.732 Si